[1]
A plane-wave DFT calculation with PBE was carried out for a geometry-optimized SrLi2Re structure.

```
SrLi2Re
1.0
0.0000 3.5722 3.5722
3.5722 0.0000 3.5722
3.5722 3.5722 0.0000
Sr Li Re
1 2 1
direct
0.0000 0.0000 0.0000 Sr
0.2500 0.2500 0.2500 Li
0.5000 0.5000 0.5000 Li
0.7500 0.7500 0.7500 Re
```

Values from the calculation:
Symmetry = F-43m, No. 216
Formation energy = 0.97 eV per atom
DOS at the Fermi energy = 2.6 states/eV/f.u.

[2]
A plane-wave DFT calculation with PBE was carried out for a geometry-optimized Sr4LiRe structure.

```
Sr4LiRe
1.0
0.0000 4.9752 4.9752
4.9752 0.0000 4.9752
4.9752 4.9752 0.0000
Sr Li Re
4 1 1
direct
0.3761 0.3761 0.3761 Sr
0.3761 0.3761 0.8718 Sr
0.3761 0.8718 0.3761 Sr
0.8718 0.3761 0.3761 Sr
0.0000 0.0000 0.0000 Li
0.7500 0.7500 0.7500 Re
```

Values from the calculation:
Symmetry = F-43m, No. 216
Formation energy = 1.28 eV per atom
DOS at the Fermi energy = 10.0 states/eV/f.u.

[3]
A plane-wave DFT calculation with PBE was carried out for a geometry-optimized SrLi2Re structure.

```
SrLi2Re
1.0
1.4634 0.8449 10.7483
-1.4634 0.8449 10.7483
0.0000 -1.6897 10.7483
Sr Li Re
1 2 1
direct
0.0000 0.0000 0.0000 Sr
0.2358 0.2358 0.2358 Li
0.7642 0.7642 0.7642 Li
0.5000 0.5000 0.5000 Re
```

Values from the calculation:
Symmetry = R-3m, No. 166
Formation energy = 0.91 eV per atom
DOS at the Fermi energy = 3.7 states/eV/f.u.

[4]
A plane-wave DFT calculation with PBE was carried out for a geometry-optimized SrLi2Re structure.

```
SrLi2Re
1.0
2.7494 0.0000 0.0000
0.0000 4.9032 0.0000
-0.2067 0.0000 5.8763
Sr Li Re
1 2 1
direct
0.0000 0.0000 0.0000 Sr
0.1853 0.5000 0.6797 Li
0.8147 0.5000 0.3203 Li
0.5000 0.0000 0.5000 Re
```

Values from the calculation:
Symmetry = P2/m, No. 10
Formation energy = 0.67 eV per atom
DOS at the Fermi energy = 3.4 states/eV/f.u.

[5]
A plane-wave DFT calculation with PBE was carried out for a geometry-optimized SrLi2Re structure.

```
SrLi2Re
1.0
-1.4090 2.7627 5.7347
1.4090 -2.7627 5.7347
1.4090 2.7627 -5.7347
Sr Li Re
1 2 1
direct
0.0000 0.0000 0.0000 Sr
0.2940 0.7940 0.5000 Li
0.7060 0.2060 0.5000 Li
0.5000 0.5000 0.0000 Re
```

Values from the calculation:
Symmetry = Immm, No. 71
Formation energy = 0.72 eV per atom
DOS at the Fermi energy = 2.3 states/eV/f.u.

[6]
A plane-wave DFT calculation with PBE was carried out for a geometry-optimized Sr3LiRe structure.

```
Sr3LiRe
1.0
5.9277 0.0000 0.0000
0.0000 5.9277 0.0000
0.0000 0.0000 5.9277
Sr Li Re
3 1 1
direct
0.0000 0.0000 0.5000 Sr
0.0000 0.5000 0.0000 Sr
0.5000 0.0000 0.0000 Sr
0.5000 0.5000 0.5000 Li
0.0000 0.0000 0.0000 Re
```

Values from the calculation:
Symmetry = Pm-3m, No. 221
Formation energy = 0.72 eV per atom
DOS at the Fermi energy = 6.0 states/eV/f.u.

For each record above, in turn, the calculated final energy values are -3.519, -2.238, -3.583, -3.815, -3.768, -3.166 eV per atom.